A plane-wave DFT calculation with GGA-PBE was carried out for a relaxed Mn2Al2S5 crystal.

Geometry as CIF:
```
data_Mn2Al2S5
_chemical_formula_sum 'Mn4 Al4 S10'
_cell_length_a 19.444
_cell_length_b 3.688
_cell_length_c 6.282
_cell_angle_alpha 90.00
_cell_angle_beta 105.18
_cell_angle_gamma 90.00
_space_group_name_H-M_alt 'C 1 2/m 1'
_space_group_IT_number 12
_space_group_name_Hall '-C 2y'
loop_
_atom_site_label
_atom_site_type_symbol
_atom_site_fract_x
_atom_site_fract_y
_atom_site_fract_z
Mn1 Mn 0.075 0.000 0.308
Al1 Al 0.113 0.500 0.912
S1 S 0.000 0.500 0.000
S2 S 0.103 0.500 0.556
S3 S 0.165 0.000 0.096
```

Results
final energy	-106.00	eV for the cell shown
ΔE_f (raw)	-16.8	kcal/mol of atoms
density of states at the Fermi level	0.59	states/eV/cell



A plane-wave DFT calculation with GGA-PBE was carried out for a relaxed Mn2AlS4 crystal.

Geometry as CIF:
```
data_Mn2AlS4
_chemical_formula_sum 'Mn8 Al4 S16'
_cell_length_a 7.196
_cell_length_b 7.196
_cell_length_c 10.202
_cell_angle_alpha 90.00
_cell_angle_beta 90.00
_cell_angle_gamma 90.00
_space_group_name_H-M_alt 'I 41/a m d'
_space_group_IT_number 141
loop_
_space_group_symop_operation_xyz
'x,y,z'
'-x,-y,-z'
'-y+1/4,x+3/4,z+1/4'
'y+1/4,-x+3/4,-z+1/4'
'-x+1/2,-y,z+1/2'
'x+1/2,y,-z+1/2'
'y+1/4,-x+1/4,z+3/4'
'-y+1/4,x+1/4,-z+3/4'
'x,-y,-z'
'-x,y,z'
'-y+1/4,-x+1/4,-z+3/4'
'y+1/4,x+1/4,z+3/4'
'-x+1/2,y,-z+1/2'
'x+1/2,-y,z+1/2'
'y+1/4,x+3/4,-z+1/4'
'-y+1/4,-x+3/4,z+1/4'
'x+1/2,y+1/2,z+1/2'
'-x+1/2,-y+1/2,-z+1/2'
'-y+3/4,x+1/4,z+3/4'
'y+3/4,-x+1/4,-z+3/4'
'-x,-y+1/2,z'
'x,y+1/2,-z'
'y+3/4,-x+3/4,z+1/4'
'-y+3/4,x+3/4,-z+1/4'
'x+1/2,-y+1/2,-z+1/2'
'-x+1/2,y+1/2,z+1/2'
'-y+3/4,-x+3/4,-z+1/4'
'y+3/4,x+3/4,z+1/4'
'-x,y+1/2,-z'
'x,-y+1/2,z'
'y+3/4,x+1/4,-z+3/4'
'-y+3/4,-x+1/4,z+3/4'
loop_
_atom_site_label
_atom_site_type_symbol
_atom_site_fract_x
_atom_site_fract_y
_atom_site_fract_z
Mn1 Mn 0.000 0.000 0.000
Al1 Al 0.000 0.250 0.375
S1 S 0.000 0.010 0.755
```

Results
final energy	-174.10	eV for the cell shown
ΔE_f (raw)	-16.3	kcal/mol of atoms
density of states at the Fermi level	12.20	states/eV/cell



A plane-wave DFT calculation with GGA-PBE was carried out for a relaxed MnAl3S6 crystal.

Geometry as CIF:
```
data_MnAl3S6
_chemical_formula_sum 'Mn3 Al9 S18'
_cell_length_a 6.0031
_cell_length_b 6.0031
_cell_length_c 16.9688
_cell_angle_alpha 90.00
_cell_angle_beta 90.00
_cell_angle_gamma 120.00
_space_group_name_H-M_alt 'R 3'
_space_group_IT_number 146
_space_group_name_Hall 'R 3'
loop_
_atom_site_label
_atom_site_type_symbol
_atom_site_fract_x
_atom_site_fract_y
_atom_site_fract_z
Mn1 Mn 0.0000 0.0000 0.0000
Al1 Al 0.0000 0.0000 0.3262
Al2 Al 0.0000 0.0000 0.6450
Al3 Al 0.0000 0.0000 0.8222
S1 S 0.0000 0.3216 0.7342
S2 S 0.0110 0.6947 0.9140
```

Results
final energy	-161.51	eV for the cell shown
ΔE_f (raw)	-20.0	kcal/mol of atoms
density of states at the Fermi level	10.75	states/eV/cell



A plane-wave DFT calculation with GGA-PBE was carried out for a relaxed MnAl2S4 crystal.

Geometry as CIF:
```
data_MnAl2S4
_chemical_formula_sum 'Mn3 Al6 S12'
_cell_length_a 3.6571
_cell_length_b 3.6571
_cell_length_c 37.4419
_cell_angle_alpha 90.00
_cell_angle_beta 90.00
_cell_angle_gamma 120.00
_space_group_name_H-M_alt 'R 3 m'
_space_group_IT_number 160
_space_group_name_Hall 'R 3 -2"'
loop_
_atom_site_label
_atom_site_type_symbol
_atom_site_fract_x
_atom_site_fract_y
_atom_site_fract_z
Mn1 Mn 0.0000 0.0000 0.0000
Al1 Al 0.0000 0.0000 0.5269
Al2 Al 0.0000 0.0000 0.7640
S1 S 0.0000 0.0000 0.0658
S2 S 0.0000 0.0000 0.4672
S3 S 0.0000 0.0000 0.6413
S4 S 0.0000 0.0000 0.8848
```

Results
final energy	-117.02	eV for the cell shown
ΔE_f (raw)	-19.2	kcal/mol of atoms
density of states at the Fermi level	3.73	states/eV/cell



A plane-wave DFT calculation with GGA-PBE was carried out for a relaxed Mn4AlS8 crystal.

Geometry as CIF:
```
data_Mn4AlS8
_chemical_formula_sum 'Mn12 Al3 S24'
_cell_length_a 6.8199
_cell_length_b 6.8199
_cell_length_c 17.4833
_cell_angle_alpha 90.00
_cell_angle_beta 90.00
_cell_angle_gamma 120.00
_space_group_name_H-M_alt 'R -3 m'
_space_group_IT_number 166
_space_group_name_Hall '-R 3 2"'
loop_
_atom_site_label
_atom_site_type_symbol
_atom_site_fract_x
_atom_site_fract_y
_atom_site_fract_z
Mn1 Mn 0.0000 0.0000 0.0000
Mn2 Mn 0.0000 0.5000 0.0000
Al1 Al 0.0000 0.0000 0.5000
S1 S 0.0000 0.0000 0.2600
S2 S 0.0177 0.5088 0.2551
```

Results
final energy	-244.50	eV for the cell shown
ΔE_f (raw)	-14.3	kcal/mol of atoms
density of states at the Fermi level	17.37	states/eV/cell



A plane-wave DFT calculation with GGA-PBE was carried out for a relaxed MnAl3S6 crystal.

Geometry as CIF:
```
data_MnAl3S6
_chemical_formula_sum 'Mn6 Al18 S36'
_cell_length_a 9.9974
_cell_length_b 9.9974
_cell_length_c 12.3989
_cell_angle_alpha 90.00
_cell_angle_beta 90.00
_cell_angle_gamma 120.00
_space_group_name_H-M_alt 'R -3'
_space_group_IT_number 148
_space_group_name_Hall '-R 3'
loop_
_atom_site_label
_atom_site_type_symbol
_atom_site_fract_x
_atom_site_fract_y
_atom_site_fract_z
Mn1 Mn 0.0000 0.0000 0.0000
Mn2 Mn 0.0000 0.0000 0.5000
Al1 Al 0.0491 0.2658 0.2082
S1 S 0.0232 0.1881 0.8802
S2 S 0.0241 0.2065 0.3986
```

Results
final energy	-317.05	eV for the cell shown
ΔE_f (raw)	-17.7	kcal/mol of atoms
density of states at the Fermi level	21.09	states/eV/cell



A plane-wave DFT calculation with GGA-PBE was carried out for a relaxed Mn5AlS8 crystal.

Geometry as CIF:
```
data_Mn5AlS8
_chemical_formula_sum 'Mn20 Al4 S32'
_cell_length_a 10.205
_cell_length_b 10.205
_cell_length_c 10.205
_cell_angle_alpha 90.00
_cell_angle_beta 90.00
_cell_angle_gamma 90.00
_space_group_name_H-M_alt 'F -4 3 m'
_space_group_IT_number 216
_space_group_name_Hall 'F -4 2 3'
loop_
_atom_site_label
_atom_site_type_symbol
_atom_site_fract_x
_atom_site_fract_y
_atom_site_fract_z
Mn1 Mn 0.000 0.000 0.000
Mn2 Mn 0.126 0.126 0.626
Al1 Al 0.250 0.250 0.250
S1 S 0.120 0.120 0.380
S2 S 0.133 0.133 0.867
```

Results
final energy	-364.44	eV for the cell shown
ΔE_f (raw)	-14.0	kcal/mol of atoms
density of states at the Fermi level	37.43	states/eV/cell



A plane-wave DFT calculation with GGA-PBE was carried out for a relaxed ScMnAlS4 crystal.

Geometry as CIF:
```
data_ScMnAlS4
_chemical_formula_sum 'Sc4 Mn4 Al4 S16'
_cell_length_a 7.308
_cell_length_b 7.366
_cell_length_c 10.401
_cell_angle_alpha 90.00
_cell_angle_beta 90.00
_cell_angle_gamma 90.00
_space_group_name_H-M_alt 'I m m a'
_space_group_IT_number 74
_space_group_name_Hall '-I 2b 2'
loop_
_atom_site_label
_atom_site_type_symbol
_atom_site_fract_x
_atom_site_fract_y
_atom_site_fract_z
Sc1 Sc 0.000 0.000 0.000
Mn1 Mn 0.250 0.250 0.250
Al1 Al 0.000 0.250 0.632
S1 S 0.000 0.010 0.248
S2 S 0.248 0.250 0.001
```

Results
final energy	-176.42	eV for the cell shown
ΔE_f (raw)	-27.5	kcal/mol of atoms
density of states at the Fermi level	6.81	states/eV/cell